The following is a DFT calculation (GGA-PBE) of Pm3Dy4Tm2 after structural relaxation.

Lattice parameters (Å, degrees): 7.977 7.977 7.970 107.48 107.48 36.85
Fractional coordinates of all 9 atoms:
Pm  0.000  0.000  0.000
Pm  0.111  0.111  0.666
Pm  0.889  0.889  0.334
Dy  0.221  0.221  0.331
Dy  0.444  0.444  0.668
Dy  0.556  0.556  0.332
Dy  0.779  0.779  0.669
Tm  0.332  0.332  0.999
Tm  0.668  0.668  0.001

---

The following is a DFT calculation (GGA-PBE) of Pm6DyTm3 after structural relaxation.

Lattice parameters (Å, degrees): 11.072 11.072 6.280 90.00 90.00 120.67
Fractional coordinates of all 20 atoms:
Pm  0.038  0.962  0.500
Pm  0.057  0.479  0.957
Pm  0.280  0.720  0.249
Pm  0.288  0.374  0.145
Pm  0.374  0.288  0.645
Pm  0.479  0.057  0.457
Pm  0.521  0.943  0.957
Pm  0.626  0.712  0.145
Pm  0.712  0.626  0.645
Pm  0.720  0.280  0.749
Pm  0.943  0.521  0.457
Pm  0.962  0.038  0.000
Dy  0.197  0.803  0.715
Dy  0.803  0.197  0.215
Tm  0.054  0.281  0.568
Tm  0.281  0.054  0.068
Tm  0.386  0.614  0.680
Tm  0.614  0.386  0.180
Tm  0.719  0.946  0.568
Tm  0.946  0.719  0.068

---

The following is a DFT calculation (GGA-PBE) of Pm5DyTm3 after structural relaxation.

Lattice parameters (Å, degrees): 8.833 8.833 11.518 107.02 107.02 44.76
Fractional coordinates of all 18 atoms:
Pm  0.143  0.375  0.643
Pm  0.219  0.781  0.750
Pm  0.375  0.143  0.143
Pm  0.386  0.398  0.454
Pm  0.398  0.386  0.954
Pm  0.602  0.614  0.046
Pm  0.614  0.602  0.546
Pm  0.625  0.857  0.857
Pm  0.781  0.219  0.250
Pm  0.857  0.625  0.357
Dy  0.318  0.682  0.250
Dy  0.682  0.318  0.750
Tm  0.000  0.000  0.000
Tm  0.000  0.000  0.500
Tm  0.060  0.291  0.875
Tm  0.291  0.060  0.375
Tm  0.709  0.940  0.625
Tm  0.940  0.709  0.125

---

The following is a DFT calculation (GGA-PBE) of PmDyTm2 after structural relaxation.

Lattice parameters (Å, degrees): 7.986 7.986 7.986 90.00 90.00 90.00
Fractional coordinates of all 16 atoms:
Pm  0.000  0.000  0.000
Pm  0.000  0.500  0.500
Pm  0.500  0.000  0.500
Pm  0.500  0.500  0.000
Dy  0.000  0.000  0.500
Dy  0.000  0.500  0.000
Dy  0.500  0.000  0.000
Dy  0.500  0.500  0.500
Tm  0.250  0.250  0.250
Tm  0.250  0.250  0.750
Tm  0.250  0.750  0.250
Tm  0.250  0.750  0.750
Tm  0.750  0.250  0.250
Tm  0.750  0.250  0.750
Tm  0.750  0.750  0.250
Tm  0.750  0.750  0.750

---

The following is a DFT calculation (GGA-PBE) of PmDy3Tm4 after structural relaxation.

Lattice parameters (Å, degrees): 23.333 3.446 6.610 90.00 106.33 90.00
Fractional coordinates of all 16 atoms:
Pm  0.000  0.000  0.000
Pm  0.500  0.500  0.000
Dy  0.000  0.500  0.500
Dy  0.126  0.500  0.373
Dy  0.374  0.000  0.627
Dy  0.500  0.000  0.500
Dy  0.626  0.000  0.373
Dy  0.874  0.500  0.627
Tm  0.126  0.500  0.884
Tm  0.239  0.000  0.237
Tm  0.261  0.500  0.763
Tm  0.374  0.000  0.116
Tm  0.626  0.000  0.884
Tm  0.739  0.500  0.237
Tm  0.761  0.000  0.763
Tm  0.874  0.500  0.116

---

The following is a DFT calculation (GGA-PBE) of Pm2DyTm8 after structural relaxation.

Lattice parameters (Å, degrees): 9.321 9.321 7.875 104.65 104.65 30.98
Fractional coordinates of all 11 atoms:
Pm  0.227  0.227  0.137
Pm  0.773  0.773  0.863
Dy  0.500  0.500  0.500
Tm  0.045  0.045  0.228
Tm  0.135  0.135  0.679
Tm  0.319  0.319  0.592
Tm  0.410  0.410  0.046
Tm  0.590  0.590  0.954
Tm  0.681  0.681  0.408
Tm  0.865  0.865  0.321
Tm  0.955  0.955  0.772

---

The following is a DFT calculation (GGA-PBE) of Pm4DyTm8 after structural relaxation.

Lattice parameters (Å, degrees): 9.824 9.824 9.824 43.98 43.98 43.98
Fractional coordinates of all 13 atoms:
Pm  0.000  0.000  0.000
Pm  0.000  0.500  0.500
Pm  0.500  0.000  0.500
Pm  0.500  0.500  0.000
Dy  0.500  0.500  0.500
Tm  0.187  0.749  0.749
Tm  0.218  0.218  0.218
Tm  0.251  0.251  0.813
Tm  0.251  0.813  0.251
Tm  0.749  0.187  0.749
Tm  0.749  0.749  0.187
Tm  0.782  0.782  0.782
Tm  0.813  0.251  0.251

---

The following is a DFT calculation (GGA-PBE) of Pm6DyTm3 after structural relaxation.

Lattice parameters (Å, degrees): 11.681 11.681 6.400 90.00 90.00 130.60
Fractional coordinates of all 20 atoms:
Pm  0.016  0.984  0.500
Pm  0.106  0.545  0.989
Pm  0.260  0.380  0.739
Pm  0.301  0.699  0.517
Pm  0.380  0.260  0.239
Pm  0.455  0.894  0.989
Pm  0.545  0.106  0.489
Pm  0.620  0.740  0.739
Pm  0.699  0.301  0.017
Pm  0.740  0.620  0.239
Pm  0.894  0.455  0.489
Pm  0.984  0.016  0.000
Dy  0.158  0.842  0.298
Dy  0.842  0.158  0.798
Tm  0.043  0.293  0.321
Tm  0.293  0.043  0.821
Tm  0.419  0.581  0.219
Tm  0.581  0.419  0.719
Tm  0.707  0.957  0.321
Tm  0.957  0.707  0.821

---

The following is a DFT calculation (GGA-PBE) of Pm3Dy7Tm after structural relaxation.

Lattice parameters (Å, degrees): 6.940 5.525 9.971 90.00 109.22 90.00
Fractional coordinates of all 11 atoms:
Pm  0.000  0.000  0.000
Pm  0.280  0.500  0.496
Pm  0.720  0.500  0.504
Dy  0.000  0.000  0.500
Dy  0.148  0.500  0.789
Dy  0.322  0.500  0.136
Dy  0.424  0.000  0.329
Dy  0.576  0.000  0.671
Dy  0.678  0.500  0.864
Dy  0.852  0.500  0.211
Tm  0.500  0.000  0.000

---

The following is a DFT calculation (GGA-PBE) of Pm3Dy5Tm after structural relaxation.

Lattice parameters (Å, degrees): 9.886 9.886 9.886 127.69 127.69 77.13
Fractional coordinates of all 18 atoms:
Pm  0.117  0.617  0.733
Pm  0.250  0.250  0.000
Pm  0.383  0.117  0.500
Pm  0.617  0.883  0.500
Pm  0.750  0.750  0.000
Pm  0.883  0.383  0.267
Dy  0.000  0.000  0.000
Dy  0.072  0.152  0.500
Dy  0.152  0.652  0.080
Dy  0.348  0.428  0.500
Dy  0.428  0.928  0.080
Dy  0.500  0.500  0.000
Dy  0.572  0.072  0.920
Dy  0.652  0.572  0.500
Dy  0.848  0.348  0.920
Dy  0.928  0.848  0.500
Tm  0.250  0.750  0.500
Tm  0.750  0.250  0.500

---

The following is a DFT calculation (GGA-PBE) of Pm5Dy3Tm3 after structural relaxation.

Lattice parameters (Å, degrees): 11.147 11.147 3.462 90.00 90.00 120.00
Fractional coordinates of all 11 atoms:
Pm  0.000  0.162  0.000
Pm  0.162  0.000  0.000
Pm  0.333  0.667  0.000
Pm  0.667  0.333  0.000
Pm  0.838  0.838  0.000
Dy  0.000  0.406  0.500
Dy  0.406  0.000  0.500
Dy  0.594  0.594  0.500
Tm  0.000  0.658  0.000
Tm  0.342  0.342  0.000
Tm  0.658  0.000  0.000

---

The following is a DFT calculation (GGA-PBE) of Pm2Dy12Tm5 after structural relaxation.

Lattice parameters (Å, degrees): 6.125 9.346 10.629 78.99 84.39 89.94
Fractional coordinates of all 19 atoms:
Pm  0.236  0.447  0.080
Pm  0.764  0.553  0.920
Dy  0.027  0.606  0.343
Dy  0.131  0.027  0.710
Dy  0.185  0.236  0.397
Dy  0.290  0.659  0.761
Dy  0.395  0.078  0.132
Dy  0.446  0.288  0.814
Dy  0.554  0.712  0.186
Dy  0.605  0.922  0.868
Dy  0.710  0.341  0.239
Dy  0.815  0.764  0.603
Dy  0.869  0.973  0.290
Dy  0.973  0.394  0.657
Tm  0.079  0.818  0.026
Tm  0.343  0.869  0.447
Tm  0.500  0.500  0.500
Tm  0.657  0.131  0.553
Tm  0.921  0.182  0.974

---

The following is a DFT calculation (GGA-PBE) of PmDy9Tm2 after structural relaxation.

Lattice parameters (Å, degrees): 5.009 5.009 15.030 90.00 90.00 90.00
Fractional coordinates of all 12 atoms:
Pm  0.000  0.000  0.000
Dy  0.000  0.500  0.169
Dy  0.000  0.500  0.500
Dy  0.000  0.500  0.831
Dy  0.500  0.000  0.169
Dy  0.500  0.000  0.500
Dy  0.500  0.000  0.831
Dy  0.500  0.500  0.000
Dy  0.500  0.500  0.335
Dy  0.500  0.500  0.665
Tm  0.000  0.000  0.335
Tm  0.000  0.000  0.665

---

The following is a DFT calculation (GGA-PBE) of Pm12Dy5Tm2 after structural relaxation.

Lattice parameters (Å, degrees): 10.673 10.673 6.213 100.50 100.50 66.45
Fractional coordinates of all 19 atoms:
Pm  0.047  0.560  0.802
Pm  0.055  0.055  0.274
Pm  0.147  0.646  0.382
Pm  0.354  0.853  0.618
Pm  0.381  0.381  0.997
Pm  0.440  0.953  0.198
Pm  0.560  0.047  0.802
Pm  0.619  0.619  0.003
Pm  0.646  0.147  0.382
Pm  0.853  0.354  0.618
Pm  0.945  0.945  0.726
Pm  0.953  0.440  0.198
Dy  0.177  0.177  0.860
Dy  0.284  0.284  0.444
Dy  0.500  0.500  0.500
Dy  0.716  0.716  0.556
Dy  0.823  0.823  0.140
Tm  0.268  0.732  0.000
Tm  0.732  0.268  0.000

---

The following is a DFT calculation (GGA-PBE) of Pm8Dy2Tm after structural relaxation.

Lattice parameters (Å, degrees): 7.849 7.849 8.554 110.96 110.96 51.14
Fractional coordinates of all 11 atoms:
Pm  0.108  0.108  0.991
Pm  0.150  0.670  0.622
Pm  0.242  0.242  0.771
Pm  0.330  0.850  0.378
Pm  0.670  0.150  0.622
Pm  0.758  0.758  0.229
Pm  0.850  0.330  0.378
Pm  0.892  0.892  0.009
Dy  0.351  0.351  0.245
Dy  0.649  0.649  0.755
Tm  0.500  0.500  0.000

---

The following is a DFT calculation (GGA-PBE) of Pm6Dy6Tm after structural relaxation.

Lattice parameters (Å, degrees): 6.720 6.720 11.361 90.00 90.00 120.00
Fractional coordinates of all 13 atoms:
Pm  0.000  0.000  0.156
Pm  0.000  0.000  0.844
Pm  0.333  0.667  0.000
Pm  0.333  0.667  0.500
Pm  0.667  0.333  0.000
Pm  0.667  0.333  0.500
Dy  0.000  0.500  0.253
Dy  0.000  0.500  0.747
Dy  0.500  0.000  0.253
Dy  0.500  0.000  0.747
Dy  0.500  0.500  0.253
Dy  0.500  0.500  0.747
Tm  0.000  0.000  0.500

---

The following is a DFT calculation (GGA-PBE) of Pm8Dy3Tm2 after structural relaxation.

Lattice parameters (Å, degrees): 7.718 5.718 10.808 90.00 110.87 90.00
Fractional coordinates of all 13 atoms:
Pm  0.099  0.000  0.286
Pm  0.173  0.500  0.846
Pm  0.313  0.000  0.714
Pm  0.368  0.500  0.236
Pm  0.632  0.500  0.764
Pm  0.687  0.000  0.286
Pm  0.827  0.500  0.154
Pm  0.901  0.000  0.714
Dy  0.214  0.500  0.500
Dy  0.500  0.000  0.500
Dy  0.786  0.500  0.500
Tm  0.260  0.000  0.020
Tm  0.740  0.000  0.980

---

The following is a DFT calculation (GGA-PBE) of Pm2Dy2Tm7 after structural relaxation.

Lattice parameters (Å, degrees): 7.983 7.983 6.028 106.45 106.45 91.74
Fractional coordinates of all 11 atoms:
Pm  0.095  0.095  0.307
Pm  0.905  0.905  0.693
Dy  0.288  0.712  0.000
Dy  0.712  0.288  0.000
Tm  0.089  0.564  0.321
Tm  0.270  0.270  0.923
Tm  0.436  0.911  0.679
Tm  0.500  0.500  0.500
Tm  0.564  0.089  0.321
Tm  0.730  0.730  0.077
Tm  0.911  0.436  0.679

---

The following is a DFT calculation (GGA-PBE) of Pm7Dy2Tm4 after structural relaxation.

Lattice parameters (Å, degrees): 6.147 6.147 13.102 90.00 90.00 120.00
Fractional coordinates of all 13 atoms:
Pm  0.000  0.000  0.000
Pm  0.000  0.372  0.224
Pm  0.000  0.628  0.776
Pm  0.372  0.000  0.224
Pm  0.372  0.372  0.776
Pm  0.628  0.000  0.776
Pm  0.628  0.628  0.224
Dy  0.333  0.667  0.000
Dy  0.667  0.333  0.000
Tm  0.000  0.000  0.392
Tm  0.000  0.000  0.608
Tm  0.333  0.667  0.500
Tm  0.667  0.333  0.500

---

Number 1: magnetic moment 0.00 μB per atom, raw total energy -4.602 eV per atom, ρ 8.2 Mg/m³. Number 2: magnetic moment 0.00 μB per atom, raw total energy -4.506 eV per atom, ρ 7.7 Mg/m³. Number 3: magnetic moment 0.00 μB per atom, raw total energy -4.470 eV per atom, ρ 7.7 Mg/m³. Number 4: magnetic moment 0.00 μB per atom, raw total energy -4.458 eV per atom, ρ 8.4 Mg/m³. Number 5: magnetic moment 0.00 μB per atom, raw total energy -4.380 eV per atom, ρ 8.5 Mg/m³. Number 6: magnetic moment 0.00 μB per atom, raw total energy -4.509 eV per atom, ρ 8.8 Mg/m³. Number 7: magnetic moment 0.00 μB per atom, raw total energy -4.346 eV per atom, ρ 8.4 Mg/m³. Number 8: magnetic moment 0.00 μB per atom, raw total energy -4.523 eV per atom, ρ 7.7 Mg/m³. Number 9: magnetic moment 0.00 μB per atom, raw total energy -4.488 eV per atom, ρ 8.0 Mg/m³. Number 10: magnetic moment 0.00 μB per atom, raw total energy -4.362 eV per atom, ρ 8.0 Mg/m³. Number 11: magnetic moment 0.00 μB per atom, raw total energy -4.283 eV per atom, ρ 7.7 Mg/m³. Number 12: magnetic moment 0.00 μB per atom, raw total energy -4.566 eV per atom, ρ 8.6 Mg/m³. Number 13: magnetic moment 0.00 μB per atom, raw total energy -4.571 eV per atom, ρ 8.6 Mg/m³. Number 14: magnetic moment 0.00 μB per atom, raw total energy -4.582 eV per atom, ρ 7.6 Mg/m³. Number 15: magnetic moment 0.00 μB per atom, raw total energy -4.493 eV per atom, ρ 7.3 Mg/m³. Number 16: magnetic moment 0.01 μB per atom, raw total energy -4.374 eV per atom, ρ 7.5 Mg/m³. Number 17: magnetic moment 0.00 μB per atom, raw total energy -4.465 eV per atom, ρ 7.4 Mg/m³. Number 18: magnetic moment 0.00 μB per atom, raw total energy -4.389 eV per atom, ρ 8.5 Mg/m³. Number 19: magnetic moment 0.00 μB per atom, raw total energy -4.465 eV per atom, ρ 7.8 Mg/m³.